Computed, not measured: an optimized crystal structure of AsPb2S at the PBE-GGA level of DFT.

Cell lengths 6.4681, 6.4681, 13.9275 Å; angles 90.00, 90.00, 90.00 degrees
Space group I-42d (No. 122)
Unique sites:
As 0.0000 0.0000 0.0000 [4 per cell]
Pb 0.2418 0.2500 0.6250 [8 per cell]
S 0.0000 0.0000 0.5000 [4 per cell]

E above lowest polymorph = 142.5 meV/atom
DOS(E_F) = 1.020 states/eV/atom
total DFT energy (no corrections) = -4.0629 eV per atom
formation energy from raw total energies = -14.4 meV/atom